Record 1
A plane-wave DFT calculation with PBE was carried out for YEr2Ag4 after structural relaxation. Values from VASP.

The structure in Quantum ESPRESSO input format:
```
&SYSTEM
  ibrav = 0, nat = 14, ntyp = 3
/
ATOMIC_SPECIES
Y 88.91 Y.upf
Er 167.26 Er.upf
Ag 107.87 Ag.upf
CELL_PARAMETERS angstrom
7.156 0.000 0.000
0.000 7.156 0.000
0.000 0.000 7.023
ATOMIC_POSITIONS angstrom
Y 0.000 0.000 0.000
Y 3.578 3.578 3.511
Er 0.000 3.578 0.000
Er 0.000 3.578 3.511
Er 3.578 0.000 0.000
Er 3.578 0.000 3.511
Ag 1.789 1.789 1.756
Ag 1.789 1.789 5.267
Ag 1.789 5.367 1.756
Ag 1.789 5.367 5.267
Ag 5.367 1.789 1.756
Ag 5.367 1.789 5.267
Ag 5.367 5.367 1.756
Ag 5.367 5.367 5.267
```

Summary:
* energy of formation from the pure elements: -0.102 eV per atom
* symmetry: I4/mmm, No. 139
* DOS(E_F): 4.46 states/eV/f.u.

---

Record 2
A plane-wave DFT calculation with PBE was carried out for CaAc5Tb4 after structural relaxation. Values from VASP.

The structure in Quantum ESPRESSO input format:
```
&SYSTEM
  ibrav = 0, nat = 10, ntyp = 3
/
ATOMIC_SPECIES
Ca 40.08 Ca.upf
Ac 227.00 Ac.upf
Tb 158.93 Tb.upf
CELL_PARAMETERS angstrom
3.876 0.000 0.000
0.000 3.876 0.000
0.000 0.000 26.065
ATOMIC_POSITIONS angstrom
Ca 0.000 0.000 0.000
Ac 1.938 1.938 2.864
Ac 1.938 1.938 7.957
Ac 1.938 1.938 13.033
Ac 1.938 1.938 18.108
Ac 1.938 1.938 23.201
Tb 0.000 0.000 5.383
Tb 0.000 0.000 10.487
Tb 0.000 0.000 15.579
Tb 0.000 0.000 20.682
```

Summary:
* energy of formation from the pure elements: 0.048 eV per atom
* symmetry: P4/mmm, No. 123
* DOS(E_F): 16.93 states/eV/f.u.

---

Record 3
A plane-wave DFT calculation with PBE was carried out for LaSc2Mn after structural relaxation. Values from VASP.

The structure in Quantum ESPRESSO input format:
```
&SYSTEM
  ibrav = 0, nat = 12, ntyp = 3
/
ATOMIC_SPECIES
La 138.91 La.upf
Sc 44.96 Sc.upf
Mn 54.94 Mn.upf
CELL_PARAMETERS angstrom
3.333 0.000 0.000
-1.666 2.886 0.000
0.000 0.000 30.689
ATOMIC_POSITIONS angstrom
La 0.000 0.000 0.000
La 0.000 1.924 20.459
La 1.666 0.962 10.230
Sc 0.000 0.000 15.836
Sc 0.000 0.000 23.367
Sc 0.000 1.924 5.607
Sc 0.000 1.924 13.137
Sc 1.666 0.962 2.907
Sc 1.666 0.962 26.066
Mn 0.000 0.000 7.736
Mn 0.000 1.924 28.196
Mn 1.666 0.962 17.966
```

Summary:
* energy of formation from the pure elements: 0.284 eV per atom
* symmetry: R3m, No. 160
* DOS(E_F): 5.03 states/eV/f.u.

---

Record 4
A plane-wave DFT calculation with PBE was carried out for HfZn2Ni2 after structural relaxation. Values from VASP.

The structure in Quantum ESPRESSO input format:
```
&SYSTEM
  ibrav = 0, nat = 10, ntyp = 3
/
ATOMIC_SPECIES
Hf 178.49 Hf.upf
Zn 65.41 Zn.upf
Ni 58.69 Ni.upf
CELL_PARAMETERS angstrom
0.000 4.229 8.161
2.247 0.000 8.161
2.247 4.229 0.000
ATOMIC_POSITIONS angstrom
Hf 0.562 1.057 2.040
Hf 3.932 7.401 14.282
Zn 1.685 3.172 4.100
Zn 1.685 3.172 8.142
Zn 2.809 5.287 8.180
Zn 2.809 5.287 12.222
Ni 1.685 1.740 6.121
Ni 2.809 3.855 10.201
Ni 1.685 4.604 6.121
Ni 2.809 6.718 10.201
```

Summary:
* energy of formation from the pure elements: -0.174 eV per atom
* symmetry: Fddd, No. 70
* DOS(E_F): 2.38 states/eV/f.u.

---

Record 5
A plane-wave DFT calculation with PBE was carried out for Pr5Ga2Te2 after structural relaxation. Values from VASP.

The structure in Quantum ESPRESSO input format:
```
&SYSTEM
  ibrav = 0, nat = 18, ntyp = 3
/
ATOMIC_SPECIES
Pr 140.91 Pr.upf
Ga 69.72 Ga.upf
Te 127.60 Te.upf
CELL_PARAMETERS angstrom
8.005 -4.115 0.000
8.005 4.115 0.000
0.000 0.000 8.231
ATOMIC_POSITIONS angstrom
Pr 0.000 0.000 0.000
Pr 5.895 2.702 5.506
Pr 5.895 1.413 1.391
Pr 10.115 2.702 5.506
Pr 10.115 1.413 1.391
Pr 8.005 0.000 4.116
Pr 5.895 -1.413 6.841
Pr 5.895 -2.702 2.725
Pr 10.115 -1.413 6.841
Pr 10.115 -2.702 2.725
Ga 8.005 3.122 3.152
Ga 8.005 0.993 7.268
Ga 8.005 -0.993 0.963
Ga 8.005 -3.122 5.079
Te 3.254 0.000 0.000
Te 4.751 0.000 4.116
Te 11.259 0.000 4.116
Te 12.756 0.000 0.000
```

Summary:
* symmetry: Cmce, No. 64
* formation energy from raw total energies: -0.934 eV/atom
* DOS(E_F): 11.46 states/eV/f.u.

---

Record 6
A plane-wave DFT calculation with PBE was carried out for NbInHPd2 after structural relaxation. Values from VASP.

The structure in Quantum ESPRESSO input format:
```
&SYSTEM
  ibrav = 0, nat = 5, ntyp = 4
/
ATOMIC_SPECIES
Nb 92.91 Nb.upf
In 114.82 In.upf
H 1.01 H.upf
Pd 106.42 Pd.upf
CELL_PARAMETERS angstrom
4.077 0.000 0.000
0.000 4.077 0.000
0.000 0.000 4.334
ATOMIC_POSITIONS angstrom
Nb 0.000 0.000 0.000
In 2.039 2.039 0.000
H 0.000 0.000 2.167
Pd 0.000 2.039 2.167
Pd 2.039 0.000 2.167
```

Summary:
* symmetry: P4/mmm, No. 123
* calculated total energy: -27.2 eV per cell
* DOS(E_F): 4.60 states/eV/f.u.

---

Record 7
A plane-wave DFT calculation with PBE was carried out for RbAcPdO2 after structural relaxation. Values from VASP.

The structure in Quantum ESPRESSO input format:
```
&SYSTEM
  ibrav = 0, nat = 10, ntyp = 4
/
ATOMIC_SPECIES
Rb 85.47 Rb.upf
Ac 227.00 Ac.upf
Pd 106.42 Pd.upf
O 16.00 O.upf
CELL_PARAMETERS angstrom
6.170 0.000 0.000
0.000 5.411 0.000
-0.044 0.000 7.407
ATOMIC_POSITIONS angstrom
Rb -0.011 0.008 1.852
Rb -0.033 5.403 5.555
Ac 3.074 2.707 1.852
Ac 3.052 2.704 5.555
Pd 3.085 0.000 0.000
Pd 3.063 0.000 3.704
O 1.783 1.679 7.399
O 1.806 3.732 3.696
O 4.320 1.679 3.711
O 4.342 3.732 0.008
```

Summary:
* symmetry: P2/c, No. 13
* formation energy from raw total energies: -1.740 eV/atom

---

Record 8
A plane-wave DFT calculation with PBE was carried out for SrMg2NpO6 after structural relaxation. Values from VASP.

The structure in Quantum ESPRESSO input format:
```
&SYSTEM
  ibrav = 0, nat = 10, ntyp = 4
/
ATOMIC_SPECIES
Sr 87.62 Sr.upf
Mg 24.30 Mg.upf
Np 237.00 Np.upf
O 16.00 O.upf
CELL_PARAMETERS angstrom
2.783 1.607 4.970
-2.783 1.607 4.970
0.000 -3.213 4.970
ATOMIC_POSITIONS angstrom
Sr 0.000 0.000 0.000
Mg 0.000 0.000 3.208
Mg 0.000 0.000 10.908
Np 0.000 0.000 7.811
O -0.934 -1.645 6.855
O -1.530 0.306 9.167
O -0.958 1.632 6.855
O 0.500 -1.478 9.167
O 1.892 0.014 6.855
O 1.030 1.172 9.167
```

Summary:
* symmetry: R3, No. 146
* formation energy from raw total energies: -2.783 eV/atom

---

Record 9
A plane-wave DFT calculation with PBE was carried out for CoTe2Pd after structural relaxation. Values from VASP.

The structure in Quantum ESPRESSO input format:
```
&SYSTEM
  ibrav = 0, nat = 16, ntyp = 3
/
ATOMIC_SPECIES
Co 58.93 Co.upf
Te 127.60 Te.upf
Pd 106.42 Pd.upf
CELL_PARAMETERS angstrom
6.703 0.000 0.000
0.000 6.703 0.000
0.000 0.000 6.703
ATOMIC_POSITIONS angstrom
Co 0.000 0.000 0.000
Co 0.000 3.351 3.351
Co 3.351 0.000 3.351
Co 3.351 3.351 0.000
Te 1.676 1.676 1.676
Te 1.676 1.676 5.027
Te 1.676 5.027 1.676
Te 1.676 5.027 5.027
Te 5.027 1.676 1.676
Te 5.027 1.676 5.027
Te 5.027 5.027 1.676
Te 5.027 5.027 5.027
Pd 0.000 0.000 3.351
Pd 0.000 3.351 0.000
Pd 3.351 0.000 0.000
Pd 3.351 3.351 3.351
```

Summary:
* symmetry: Fm-3m, No. 225
* formation energy from raw total energies: 0.181 eV/atom
* DOS(E_F): 2.07 states/eV/f.u.

---

Record 10
A plane-wave DFT calculation with PBE was carried out for K2Mg2Ti after structural relaxation. Values from VASP.

The structure in Quantum ESPRESSO input format:
```
&SYSTEM
  ibrav = 0, nat = 10, ntyp = 3
/
ATOMIC_SPECIES
K 39.10 K.upf
Mg 24.30 Mg.upf
Ti 47.87 Ti.upf
CELL_PARAMETERS angstrom
4.507 0.000 0.000
0.000 4.507 0.000
0.000 0.000 16.952
ATOMIC_POSITIONS angstrom
K 0.000 2.253 4.238
K 0.000 2.253 12.714
K 2.253 0.000 4.238
K 2.253 0.000 12.714
Mg 0.000 0.000 1.360
Mg 0.000 0.000 15.592
Mg 2.253 2.253 7.116
Mg 2.253 2.253 9.836
Ti 0.000 0.000 8.476
Ti 2.253 2.253 0.000
```

Summary:
* energy of formation from the pure elements: 0.846 eV per atom
* symmetry: I4/mmm, No. 139
* DOS(E_F): 4.41 states/eV/f.u.

---

Record 11
A plane-wave DFT calculation with PBE was carried out for YGe after structural relaxation. Values from VASP.

The structure in Quantum ESPRESSO input format:
```
&SYSTEM
  ibrav = 0, nat = 16, ntyp = 2
/
ATOMIC_SPECIES
Y 88.91 Y.upf
Ge 72.64 Ge.upf
CELL_PARAMETERS angstrom
8.565 0.000 0.000
0.000 8.565 0.000
0.000 0.000 8.565
ATOMIC_POSITIONS angstrom
Y 1.704 1.704 6.861
Y 1.704 6.861 1.704
Y 2.579 2.579 2.579
Y 2.579 5.986 5.986
Y 5.986 2.579 5.986
Y 5.986 5.986 2.579
Y 6.861 1.704 1.704
Y 6.861 6.861 6.861
Ge 0.996 0.996 0.996
Ge 0.996 7.569 7.569
Ge 3.287 3.287 5.278
Ge 3.287 5.278 3.287
Ge 5.278 3.287 3.287
Ge 5.278 5.278 5.278
Ge 7.569 0.996 7.569
Ge 7.569 7.569 0.996
```

Summary:
* energy of formation from the pure elements: 0.149 eV per atom
* symmetry: I-43m, No. 217
* DOS(E_F): 1.75 states/eV/f.u.

---

Record 12
A plane-wave DFT calculation with PBE was carried out for Er6ScTl after structural relaxation. Values from VASP.

The structure in Quantum ESPRESSO input format:
```
&SYSTEM
  ibrav = 0, nat = 16, ntyp = 3
/
ATOMIC_SPECIES
Er 167.26 Er.upf
Sc 44.96 Sc.upf
Tl 204.38 Tl.upf
CELL_PARAMETERS angstrom
9.721 0.000 0.000
0.000 9.726 0.000
0.000 0.000 4.862
ATOMIC_POSITIONS angstrom
Er 0.000 2.372 0.000
Er 0.000 7.353 0.000
Er 2.383 0.000 0.000
Er 2.430 2.431 2.431
Er 2.430 7.294 2.431
Er 2.477 4.863 0.000
Er 4.860 2.490 0.000
Er 4.860 7.235 0.000
Er 7.243 4.863 0.000
Er 7.290 2.431 2.431
Er 7.290 7.294 2.431
Er 7.338 0.000 0.000
Sc 0.000 0.000 2.431
Sc 4.860 4.863 2.431
Tl 0.000 4.863 2.431
Tl 4.860 0.000 2.431
```

Summary:
* energy of formation from the pure elements: -0.048 eV per atom
* symmetry: Cmmm, No. 65
* DOS(E_F): 13.33 states/eV/f.u.